Record 1
The following is a DFT calculation (GGA-PBE) of crystalline Pm3ZnSe2 at its relaxed geometry.

Cell: 5.972 8.479 12.583 Å, 90.00 90.00 89.87°
Fractional positions:
Pm 0.252 0.628 0.583
Pm 0.252 0.128 0.917
Pm 0.250 0.624 0.914
Pm 0.250 0.124 0.586
Pm 0.248 0.627 0.250
Pm 0.248 0.127 0.250
Pm 0.752 0.873 0.750
Pm 0.752 0.373 0.750
Pm 0.750 0.876 0.414
Pm 0.750 0.376 0.086
Pm 0.748 0.872 0.083
Pm 0.748 0.372 0.417
Zn 0.248 0.875 0.085
Zn 0.248 0.375 0.415
Zn 0.752 0.625 0.585
Zn 0.752 0.125 0.915
Se 0.251 0.875 0.749
Se 0.251 0.375 0.751
Se 0.250 0.878 0.416
Se 0.250 0.378 0.084
Se 0.750 0.622 0.916
Se 0.750 0.122 0.584
Se 0.749 0.625 0.249
Se 0.749 0.125 0.251

Output
magnetic moment: 0.00 μB/cell
formation energy without anion corrections: -1317 meV per atom
calculated density: 6.9 g/cm3
DOS at the Fermi energy: 4.7 states/eV/f.u.



Record 2
The following is a DFT calculation (GGA-PBE) of crystalline NdTh3 at its relaxed geometry.

Cell: 5.078 5.078 5.078 Å, 90.00 90.00 90.00°
Fractional positions:
Nd 0.000 0.000 0.000
Th 0.000 0.500 0.500
Th 0.500 0.000 0.500
Th 0.500 0.500 0.000

Output
magnetic moment: 0.00 μB/cell
calculated density: 10.7 g/cm3
DOS at the Fermi energy: 6.2 states/eV/f.u.
energy above the lowest structure with this stoichiometry: 0.011 eV per atom



Record 3
The following is a DFT calculation (GGA-PBE) of crystalline SrCaZnCu at its relaxed geometry.

Cell: 4.368 4.368 7.830 Å, 90.08 106.12 119.98°
Fractional positions:
Sr 0.354 0.042 0.396
Ca 0.005 0.866 0.871
Zn 0.833 0.281 0.115
Cu 0.500 0.615 0.114

Output
DFT total energy: -2.4236 eV per atom
magnetic moment: 0.00 μB/cell
calculated density: 3.5 g/cm3
DOS at the Fermi energy: 2.7 states/eV/f.u.



Record 4
The following is a DFT calculation (GGA-PBE) of crystalline K4Ta3NbO12 at its relaxed geometry.

Cell: 6.991 6.991 6.991 Å, 109.47 109.47 109.47°
Fractional positions:
K 0.500 0.500 0.500
K 0.000 0.000 0.500
K 0.500 0.000 0.000
K 0.000 0.500 0.000
Ta 0.500 0.000 0.500
Ta 0.500 0.500 0.000
Ta 0.000 0.500 0.500
Nb 0.000 0.000 0.000
O 0.250 0.500 0.750
O 0.749 0.000 0.749
O 0.251 0.000 0.251
O 0.750 0.500 0.250
O 0.749 0.749 0.000
O 0.251 0.251 0.000
O 0.750 0.250 0.500
O 0.250 0.750 0.500
O 0.500 0.250 0.750
O 0.000 0.749 0.749
O 0.500 0.750 0.250
O 0.000 0.251 0.251

Output
magnetic moment: 0.00 μB/cell
formation energy without anion corrections: -2605 meV per atom
calculated density: 6.2 g/cm3
DOS at the Fermi energy: 0.0 states/eV/f.u.



Record 5
The following is a DFT calculation (GGA-PBE) of crystalline NdCdPd2 at its relaxed geometry.

Cell: 3.513 3.513 6.689 Å, 90.00 90.00 90.00°
Fractional positions:
Nd 0.500 0.500 0.500
Pd 0.000 0.000 0.777
Pd 0.000 0.000 0.223
Cd 0.500 0.500 0.000

Output
DFT total energy: -4.5912 eV per atom
magnetic moment: 0.00 μB/cell
calculated density: 9.4 g/cm3
DOS at the Fermi energy: 2.2 states/eV/f.u.



Record 6
The following is a DFT calculation (GGA-PBE) of crystalline Ca3Zn3Pt at its relaxed geometry.

Cell: 4.181 5.845 14.914 Å, 82.92 81.94 69.05°
Fractional positions:
Ca 0.521 0.344 0.614
Ca 0.479 0.656 0.386
Ca 0.252 0.255 0.240
Ca 0.748 0.745 0.760
Ca 0.387 0.304 0.922
Ca 0.613 0.696 0.078
Zn 0.838 0.790 0.535
Zn 0.162 0.210 0.465
Zn 0.097 0.882 0.923
Zn 0.903 0.118 0.077
Zn 0.962 0.846 0.231
Zn 0.038 0.154 0.769
Pt 0.773 0.075 0.378
Pt 0.227 0.925 0.622

Output
DFT total energy: -2.7492 eV per atom
magnetic moment: 0.00 μB/cell
calculated density: 5.1 g/cm3
DOS at the Fermi energy: 3.7 states/eV/f.u.



Record 7
The following is a DFT calculation (GGA-PBE) of crystalline BaLuZnHg at its relaxed geometry.

Cell: 5.470 5.470 5.470 Å, 60.00 60.00 60.00°
Fractional positions:
Zn 0.000 0.000 0.000
Lu 0.750 0.750 0.750
Hg 0.500 0.500 0.500
Ba 0.250 0.250 0.250

Output
DFT total energy: -2.1897 eV per atom
magnetic moment: 0.00 μB/cell
calculated density: 8.3 g/cm3
DOS at the Fermi energy: 2.8 states/eV/f.u.



Record 8
The following is a DFT calculation (GGA-PBE) of crystalline Pm2TlHg at its relaxed geometry.

Cell: 3.825 3.825 9.967 Å, 78.94 78.94 60.00°
Fractional positions:
Pm 0.080 0.080 0.761
Pm 0.253 0.253 0.242
Tl 0.501 0.501 0.498
Hg 0.667 0.667 0.999

Output
DFT total energy: -3.3082 eV per atom
magnetic moment: 0.00 μB/cell
calculated density: 9.4 g/cm3
DOS at the Fermi energy: 3.4 states/eV/f.u.



Record 9
The following is a DFT calculation (GGA-PBE) of crystalline ZrScCd2 at its relaxed geometry.

Cell: 5.414 5.414 5.592 Å, 80.32 80.32 34.36°
Fractional positions:
Cd 0.002 0.002 0.000
Cd 0.498 0.498 0.500
Sc 0.750 0.750 0.750
Zr 0.250 0.250 0.250

Output
magnetic moment: 0.00 μB/cell
calculated density: 6.6 g/cm3
DOS at the Fermi energy: 4.3 states/eV/f.u.
energy above the lowest structure with this stoichiometry: 0.130 eV per atom



Record 10
The following is a DFT calculation (GGA-PBE) of crystalline Y2NbHgSb at its relaxed geometry.

Cell: 5.590 5.367 5.590 Å, 90.00 90.00 90.00°
Fractional positions:
Y 0.000 0.000 0.500
Y 0.500 0.000 0.000
Sb 0.000 0.500 0.000
Nb 0.500 0.500 0.500
Hg 0.000 0.000 0.000

Output
magnetic moment: 4.20 μB/cell
formation energy without anion corrections: 915 meV per atom
calculated density: 5.9 g/cm3
DOS at the Fermi energy: 5.1 states/eV/f.u.



Record 11
The following is a DFT calculation (GGA-PBE) of crystalline LuUMn2 at its relaxed geometry.

Cell: 3.211 3.211 6.661 Å, 90.00 90.00 90.00°
Fractional positions:
Lu 0.500 0.500 0.500
U 0.500 0.500 0.000
Mn 0.000 0.000 0.800
Mn 0.000 0.000 0.200

Output
magnetic moment: 0.10 μB/cell
calculated density: 12.6 g/cm3
DOS at the Fermi energy: 5.4 states/eV/f.u.
energy above the lowest structure with this stoichiometry: 0.000 eV per atom



Record 12
The following is a DFT calculation (GGA-PBE) of crystalline KTa2Ir at its relaxed geometry.

Cell: 3.012 5.057 4.967 Å, 90.00 90.00 90.00°
Fractional positions:
Ir 0.500 0.000 0.500
K 0.000 0.500 0.500
Ta 0.000 0.000 0.000
Ta 0.500 0.500 0.000

Output
magnetic moment: 0.00 μB/cell
calculated density: 13.0 g/cm3
DOS at the Fermi energy: 3.4 states/eV/f.u.
energy above the lowest structure with this stoichiometry: 0.757 eV per atom



Record 13
The following is a DFT calculation (GGA-PBE) of crystalline BeRu at its relaxed geometry.

Cell: 3.179 3.179 3.179 Å, 60.00 60.00 60.00°
Fractional positions:
Ru 0.500 0.500 0.500
Be 0.000 0.000 0.000

Output
DFT total energy: -6.3368 eV per atom
magnetic moment: 0.00 μB/cell
calculated density: 8.0 g/cm3
DOS at the Fermi energy: 2.5 states/eV/f.u.



Record 14
The following is a DFT calculation (GGA-PBE) of crystalline Nd3DyIr8 at its relaxed geometry.

Cell: 5.423 5.423 9.385 Å, 73.21 73.21 60.00°
Fractional positions:
Nd 0.375 0.375 0.875
Nd 0.000 0.000 0.001
Nd 0.500 0.500 0.499
Dy 0.875 0.875 0.375
Ir 0.936 0.437 0.190
Ir 0.439 0.938 0.685
Ir 0.437 0.437 0.190
Ir 0.938 0.938 0.685
Ir 0.188 0.188 0.437
Ir 0.688 0.688 0.937
Ir 0.437 0.936 0.190
Ir 0.938 0.439 0.685

Output
DFT total energy: -8.2039 eV per atom
magnetic moment: 0.00 μB/cell
calculated density: 15.7 g/cm3
DOS at the Fermi energy: 9.7 states/eV/f.u.



Record 15
The following is a DFT calculation (GGA-PBE) of crystalline FeCu2Ir at its relaxed geometry.

Cell: 2.676 2.676 7.070 Å, 90.00 90.00 90.00°
Fractional positions:
Cu 0.000 0.000 0.010
Cu 0.500 0.500 0.251
Fe 0.000 0.000 0.497
Ir 0.500 0.500 0.742

Output
magnetic moment: 2.29 μB/cell
calculated density: 12.3 g/cm3
DOS at the Fermi energy: 4.0 states/eV/f.u.
energy above the lowest structure with this stoichiometry: 0.014 eV per atom



Record 16
The following is a DFT calculation (GGA-PBE) of crystalline Nd6Er12Mg at its relaxed geometry.

Cell: 8.656 8.656 8.656 Å, 97.58 97.58 97.58°
Fractional positions:
Nd 0.135 0.135 0.409
Nd 0.865 0.591 0.865
Nd 0.591 0.865 0.865
Nd 0.865 0.865 0.591
Nd 0.135 0.409 0.135
Nd 0.409 0.135 0.135
Er 0.594 0.165 0.594
Er 0.165 0.594 0.594
Er 0.594 0.594 0.165
Er 0.406 0.835 0.406
Er 0.835 0.406 0.406
Er 0.406 0.406 0.835
Er 0.262 0.000 0.738
Er 0.262 0.738 0.000
Er 0.000 0.262 0.738
Er 0.738 0.000 0.262
Er 0.738 0.262 0.000
Er 0.000 0.738 0.262
Mg 0.000 0.000 0.000

Output
magnetic moment: 0.00 μB/cell
calculated density: 7.6 g/cm3
DOS at the Fermi energy: 29.5 states/eV/f.u.
energy above the lowest structure with this stoichiometry: 0.003 eV per atom



Record 17
The following is a DFT calculation (GGA-PBE) of crystalline AcNdSm4Tm2 at its relaxed geometry.

Cell: 5.146 6.315 9.666 Å, 89.78 74.56 65.95°
Fractional positions:
Ac 0.500 0.500 0.500
Nd 0.000 0.000 0.000
Sm 0.122 0.125 0.630
Sm 0.373 0.376 0.878
Sm 0.878 0.875 0.370
Sm 0.627 0.624 0.122
Tm 0.744 0.757 0.755
Tm 0.256 0.243 0.245

Output
DFT total energy: -4.5476 eV per atom
magnetic moment: 0.00 μB/cell
calculated density: 7.9 g/cm3
DOS at the Fermi energy: 12.5 states/eV/f.u.



Record 18
The following is a DFT calculation (GGA-PBE) of crystalline Na2PdAuF6 at its relaxed geometry.

Cell: 6.165 6.165 6.165 Å, 60.00 60.00 60.00°
Fractional positions:
Na 0.750 0.750 0.750
Na 0.250 0.250 0.250
Pd 0.000 0.000 0.000
Au 0.500 0.500 0.500
F 0.240 0.760 0.240
F 0.760 0.240 0.240
F 0.760 0.240 0.760
F 0.240 0.240 0.760
F 0.760 0.760 0.240
F 0.240 0.760 0.760

Output
magnetic moment: 0.00 μB/cell
formation energy without anion corrections: -1588 meV per atom
calculated density: 4.6 g/cm3
DOS at the Fermi energy: 2.2 states/eV/f.u.
energy above the lowest structure with this stoichiometry: 0.123 eV per atom



Record 19
The following is a DFT calculation (GGA-PBE) of crystalline BaTi3Ge at its relaxed geometry.

Cell: 4.986 4.986 4.986 Å, 90.00 90.00 90.00°
Fractional positions:
Ge 0.000 0.000 0.000
Ba 0.500 0.500 0.500
Ti 0.000 0.500 0.000
Ti 0.000 0.000 0.500
Ti 0.500 0.000 0.000

Output
magnetic moment: 0.00 μB/cell
calculated density: 4.7 g/cm3
DOS at the Fermi energy: 7.4 states/eV/f.u.
energy above the lowest structure with this stoichiometry: 0.000 eV per atom



Record 20
The following is a DFT calculation (GGA-PBE) of crystalline LiSbRu2Cl at its relaxed geometry.

Cell: 4.546 4.105 4.546 Å, 90.00 90.00 90.00°
Fractional positions:
Sb 0.500 0.500 0.500
Cl 0.000 0.000 0.000
Li 0.000 0.500 0.000
Ru 0.000 0.000 0.500
Ru 0.500 0.000 0.000

Output
magnetic moment: 0.60 μB/cell
formation energy without anion corrections: 445 meV per atom
calculated density: 7.2 g/cm3
DOS at the Fermi energy: 5.2 states/eV/f.u.